1.
# NdSmGe4, relaxed, DFT PBE
data_NdSmGe4
_chemical_formula_sum 'Nd4 Sm4 Ge16'
_cell_length_a 7.535
_cell_length_b 17.870
_cell_length_c 4.124
_cell_angle_alpha 90.00
_cell_angle_beta 90.00
_cell_angle_gamma 90.00
_symmetry_space_group_name_H-M 'P b a m'
_symmetry_Int_Tables_number 55
loop_
_symmetry_equiv_pos_as_xyz
'x,y,z'
'-x,-y,-z'
'-x,-y,z'
'x,y,-z'
'x+1/2,-y+1/2,-z'
'-x+1/2,y+1/2,z'
'-x+1/2,y+1/2,-z'
'x+1/2,-y+1/2,z'
loop_
_atom_site_label
_atom_site_type_symbol
_atom_site_fract_x
_atom_site_fract_y
_atom_site_fract_z
Nd1 Nd 0.181 0.189 0.000
Sm1 Sm 0.238 0.448 0.000
Ge1 Ge 0.006 0.705 0.500
Ge2 Ge 0.074 0.064 0.500
Ge3 Ge 0.083 0.565 0.500
Ge4 Ge 0.172 0.827 0.500
# - Calculated volume: 23.140 A^3/atom

=====

2.
# NdSmGe4, relaxed, DFT PBE
data_NdSmGe4
_chemical_formula_sum 'Nd4 Sm4 Ge16'
_cell_length_a 8.078
_cell_length_b 8.078
_cell_length_c 8.078
_cell_angle_alpha 90.00
_cell_angle_beta 90.00
_cell_angle_gamma 90.00
_symmetry_space_group_name_H-M 'F -4 3 m'
_symmetry_Int_Tables_number 216
_symmetry_space_group_name_Hall 'F -4 2 3'
loop_
_atom_site_label
_atom_site_type_symbol
_atom_site_fract_x
_atom_site_fract_y
_atom_site_fract_z
Nd1 Nd 0.000 0.000 0.000
Sm1 Sm 0.250 0.250 0.250
Ge1 Ge 0.124 0.124 0.624
# - Calculated volume: 21.962 A^3/atom

=====

Stability, highest: 1

=====

1.
# Nd2SnGe2, relaxed, DFT PBE
data_Nd2SnGe2
_chemical_formula_sum 'Nd4 Sn2 Ge4'
_cell_length_a 7.604
_cell_length_b 7.604
_cell_length_c 4.371
_cell_angle_alpha 90.00
_cell_angle_beta 90.00
_cell_angle_gamma 90.00
_symmetry_space_group_name_H-M 'P 4/m b m'
_symmetry_Int_Tables_number 127
_symmetry_space_group_name_Hall '-P 4 2ab'
loop_
_atom_site_label
_atom_site_type_symbol
_atom_site_fract_x
_atom_site_fract_y
_atom_site_fract_z
Nd1 Nd 0.181 0.319 0.000
Sn1 Sn 0.000 0.000 0.500
Ge1 Ge 0.119 0.619 0.500
# - Calculated volume: 25.274 A^3/atom

=====

2.
# Nd2SnGe2, relaxed, DFT PBE
data_Nd2SnGe2
_chemical_formula_sum 'Nd4 Sn2 Ge4'
_cell_length_a 4.390
_cell_length_b 6.470
_cell_length_c 8.879
_cell_angle_alpha 90.00
_cell_angle_beta 90.00
_cell_angle_gamma 90.00
_symmetry_space_group_name_H-M 'I m m m'
_symmetry_Int_Tables_number 71
_symmetry_space_group_name_Hall '-I 2 2'
loop_
_atom_site_label
_atom_site_type_symbol
_atom_site_fract_x
_atom_site_fract_y
_atom_site_fract_z
Nd1 Nd 0.000 0.000 0.218
Sn1 Sn 0.000 0.500 0.000
Ge1 Ge 0.000 0.303 0.500
# - Calculated volume: 25.219 A^3/atom

=====

Stability, highest: 2

=====

1.
# TbNd2Ge, relaxed, DFT PBE
data_TbNd2Ge
_chemical_formula_sum 'Tb3 Nd6 Ge3'
_cell_length_a 3.7081
_cell_length_b 3.7081
_cell_length_c 33.1965
_cell_angle_alpha 90.00
_cell_angle_beta 90.00
_cell_angle_gamma 120.00
_symmetry_space_group_name_H-M 'R -3 m'
_symmetry_Int_Tables_number 166
_symmetry_space_group_name_Hall '-R 3 2"'
loop_
_atom_site_label
_atom_site_type_symbol
_atom_site_fract_x
_atom_site_fract_y
_atom_site_fract_z
Tb1 Tb 0.0000 0.0000 0.0000
Nd1 Nd 0.0000 0.0000 0.1050
Ge1 Ge 0.0000 0.0000 0.5000
# - Calculated volume: 32.942 A^3/atom

=====

2.
# TbNd2Ge, relaxed, DFT PBE
data_TbNd2Ge
_chemical_formula_sum 'Tb1 Nd2 Ge1'
_cell_length_a 4.753
_cell_length_b 4.753
_cell_length_c 4.818
_cell_angle_alpha 90.00
_cell_angle_beta 90.00
_cell_angle_gamma 90.00
_symmetry_space_group_name_H-M 'P 4/m m m'
_symmetry_Int_Tables_number 123
_symmetry_space_group_name_Hall '-P 4 2'
loop_
_atom_site_label
_atom_site_type_symbol
_atom_site_fract_x
_atom_site_fract_y
_atom_site_fract_z
Tb1 Tb 0.000 0.000 0.000
Nd1 Nd 0.000 0.500 0.500
Ge1 Ge 0.500 0.500 0.000
# - Calculated volume: 27.216 A^3/atom

=====

Stability, highest: 2

=====

1.
# TbNdGe2, relaxed, DFT PBE
data_TbNdGe2
_chemical_formula_sum 'Tb2 Nd2 Ge4'
_cell_length_a 4.034
_cell_length_b 4.399
_cell_length_c 10.946
_cell_angle_alpha 90.00
_cell_angle_beta 90.00
_cell_angle_gamma 90.00
_symmetry_space_group_name_H-M 'A m m 2'
_symmetry_Int_Tables_number 38
loop_
_symmetry_equiv_pos_as_xyz
'x,y,z'
'-x,-y,z'
'-x,y,z'
'x,-y,z'
'x,y+1/2,z+1/2'
'-x,-y+1/2,z+1/2'
'-x,y+1/2,z+1/2'
'x,-y+1/2,z+1/2'
loop_
_atom_site_label
_atom_site_type_symbol
_atom_site_fract_x
_atom_site_fract_y
_atom_site_fract_z
Tb1 Tb 0.000 0.000 0.000
Nd1 Nd 0.500 0.000 0.276
Ge1 Ge 0.000 0.000 0.719
Ge2 Ge 0.500 0.000 0.553
# - Calculated volume: 24.279 A^3/atom

=====

2.
# TbNdGe2, relaxed, DFT PBE
data_TbNdGe2
_chemical_formula_sum 'Tb3 Nd3 Ge6'
_cell_length_a 4.2869
_cell_length_b 4.2869
_cell_length_c 20.1909
_cell_angle_alpha 90.00
_cell_angle_beta 90.00
_cell_angle_gamma 120.00
_symmetry_space_group_name_H-M 'R -3 m'
_symmetry_Int_Tables_number 166
_symmetry_space_group_name_Hall '-R 3 2"'
loop_
_atom_site_label
_atom_site_type_symbol
_atom_site_fract_x
_atom_site_fract_y
_atom_site_fract_z
Tb1 Tb 0.0000 0.0000 0.0000
Nd1 Nd 0.0000 0.0000 0.5000
Ge1 Ge 0.0000 0.0000 0.2533
# - Calculated volume: 26.779 A^3/atom

=====

3.
# TbNdGe2, relaxed, DFT PBE
data_TbNdGe2
_chemical_formula_sum 'Tb1 Nd1 Ge2'
_cell_length_a 4.817
_cell_length_b 4.817
_cell_length_c 4.106
_cell_angle_alpha 90.00
_cell_angle_beta 90.00
_cell_angle_gamma 90.00
_symmetry_space_group_name_H-M 'P 4/m m m'
_symmetry_Int_Tables_number 123
_symmetry_space_group_name_Hall '-P 4 2'
loop_
_atom_site_label
_atom_site_type_symbol
_atom_site_fract_x
_atom_site_fract_y
_atom_site_fract_z
Tb1 Tb 0.000 0.000 0.000
Nd1 Nd 0.500 0.500 0.000
Ge1 Ge 0.000 0.500 0.500
# - Calculated volume: 23.818 A^3/atom

=====

Stability, highest: 1